(1)
DFT (PBE) results for crystalline ScPt2W at its relaxed geometry.

Cell: 5.0468 5.0468 5.0468 Å, 133.76 133.76 67.47°
With the nearest neighbours (Å) after each atom.
Fractional coordinates of all 4 atoms:
Pt (0.2500, 0.7500, 0.5000)  4 W 2.80, 4 Sc 2.89, 4 Pt 2.89
Pt (0.0000, 0.0000, 0.0000)  4 Sc 2.80, 4 W 2.89, 4 Pt 2.89
Sc (0.5000, 0.5000, 0.0000)  8 Pt 2.80-2.89, 4 W 2.89
W (0.7500, 0.2500, 0.5000)  8 Pt 2.80-2.89, 4 Sc 2.89

Summary:
- energy of formation (eV/atom) = -0.400
- symmetry = I-4m2
- VASP energy (eV per formula unit) = -32.97

---

(2)
DFT (PBE) results for crystalline ScPt2W at its relaxed geometry.

Cell: 4.0507 2.8411 6.3683 Å, 63.21 90.00 90.00°
With the nearest neighbours (Å) after each atom.
Fractional coordinates of all 4 atoms:
Sc (0.5000, 0.2500, 0.2500)  2 Sc 2.84, 2 W 2.84, 8 Pt 2.87-2.88
W (0.5000, 0.7500, 0.7500)  8 Pt 2.82-2.83, 2 W 2.84, 2 Sc 2.84
Pt (0.0000, 0.4912, 0.5089)  4 Pt 2.74-2.94, 4 W 2.82-2.83, 4 Sc 2.87-2.88
Pt (0.0000, 0.0088, 0.9911)  4 Pt 2.74-2.94, 4 W 2.82-2.83, 4 Sc 2.87-2.88

Summary:
- energy of formation (eV/atom) = -0.554
- symmetry = P2/m
- VASP energy (eV per formula unit) = -33.58

---

(3)
DFT (PBE) results for crystalline ScPt2W at its relaxed geometry.

Cell: 4.9177 4.9177 4.9177 Å, 131.44 131.40 71.15°
With the nearest neighbours (Å) after each atom.
Fractional coordinates of all 4 atoms:
Sc (0.7500, 0.2500, 0.5000)  8 Pt 2.84-2.85, 4 W 2.86
Pt (0.0000, 0.0000, 0.0000)  4 Sc 2.84-2.85, 4 W 2.84-2.85, 4 Pt 2.86
Pt (0.5000, 0.5000, 0.0000)  4 Sc 2.84-2.85, 4 W 2.84-2.85, 4 Pt 2.86
W (0.2500, 0.7500, 0.5000)  8 Pt 2.84-2.85, 4 Sc 2.86

Summary:
- energy of formation (eV/atom) = -0.448
- symmetry = I4/mmm
- VASP energy (eV per formula unit) = -33.16